(1)
Cs3NaGe: optimized geometry, PBE.

Cell lengths 7.149, 7.149, 7.149 Å; angles 90.00, 90.00, 90.00 degrees
Sites, in units of the cell vectors:
Cs 0.000 0.000 0.500
Cs 0.000 0.500 0.000
Cs 0.500 0.000 0.000
Na 0.500 0.500 0.500
Ge 0.000 0.000 0.000

Properties
For the energy above the most stable polymorph in this dataset, the calculation gives 0.0000 eV per atom. The crystal system is cubic. Its space-group type is No. 221.

(2)
AcSiPd2: optimized geometry, PBE.

Cell lengths 9.772, 9.772, 9.772 Å; angles 153.29, 123.26, 63.79 degrees
Sites, in units of the cell vectors:
Ac 0.204 0.204 0.000
Ac 0.277 0.000 0.277
Ac 0.723 0.000 0.723
Ac 0.796 0.796 0.000
Si 0.107 0.354 0.752
Si 0.398 0.646 0.752
Si 0.602 0.354 0.248
Si 0.893 0.646 0.248
Pd 0.081 0.581 0.500
Pd 0.115 0.797 0.318
Pd 0.412 0.412 0.000
Pd 0.478 0.797 0.682
Pd 0.522 0.203 0.318
Pd 0.588 0.588 0.000
Pd 0.885 0.203 0.682
Pd 0.919 0.419 0.500

Properties
The calculation puts the raw formation energy at -0.790 eV/atom. The crystal system is orthorhombic. Its space-group type is No. 71.

(3)
Pm4SmHo2Mg: optimized geometry, PBE.

Cell lengths 5.053, 5.053, 10.032 Å; angles 90.00, 90.00, 90.00 degrees
Sites, in units of the cell vectors:
Pm 0.000 0.500 0.245
Pm 0.000 0.500 0.755
Pm 0.500 0.000 0.245
Pm 0.500 0.000 0.755
Sm 0.000 0.000 0.500
Ho 0.000 0.000 0.000
Ho 0.500 0.500 0.500
Mg 0.500 0.500 0.000

Properties
The crystal system is tetragonal. Its space-group type is No. 123. The total energy is -4.30 eV/atom.

(4)
ScZn2H2: optimized geometry, PBE.

Cell lengths 5.679, 5.679, 4.036 Å; angles 90.00, 90.00, 90.00 degrees
Sites, in units of the cell vectors:
Sc 0.000 0.000 0.000
Sc 0.500 0.500 0.000
Zn 0.249 0.251 0.500
Zn 0.251 0.751 0.500
Zn 0.749 0.249 0.500
Zn 0.751 0.749 0.500
H 0.249 0.251 0.000
H 0.251 0.751 0.000
H 0.749 0.249 0.000
H 0.751 0.749 0.000

Properties
The crystal system is tetragonal. Its space-group type is No. 127. The total energy is -3.27 eV/atom.

(5)
Fe2SiNi: optimized geometry, PBE.

Cell lengths 4.448, 4.448, 4.448 Å; angles 133.93, 133.93, 67.20 degrees
Sites, in units of the cell vectors:
Fe 0.250 0.750 0.500
Fe 0.750 0.250 0.500
Si 0.000 0.000 0.000
Ni 0.500 0.500 0.000

Properties
The calculation puts the raw formation energy at -0.316 eV/atom. The crystal system is tetragonal. Its space-group type is No. 139.

(6)
YMoOs2: optimized geometry, PBE.

Cell lengths 5.180, 5.180, 4.990 Å; angles 110.85, 110.85, 35.00 degrees
Sites, in units of the cell vectors:
Y 0.000 0.000 0.000
Mo 0.500 0.500 0.500
Os 0.225 0.225 0.697
Os 0.775 0.775 0.303

Properties
For the energy above the most stable polymorph in this dataset, the calculation gives 0.2747 eV per atom. The crystal system is monoclinic. Its space-group type is No. 12.